[1]
HgI3F (PBE, optimized geometry); formation energy without anion corrections = 0.1637 eV per atom
1.0
5.3052 0.0000 0.0000
0.0000 5.3052 0.0000
0.0000 0.0000 5.3052
Hg I F
1 3 1
direct
0.0000 0.0000 0.0000
0.0000 0.5000 0.5000
0.5000 0.0000 0.5000
0.5000 0.5000 0.0000
0.5000 0.5000 0.5000

=====

[2]
GdAlIn2 (PBE, optimized geometry); formation energy = -1.5 eV per formula unit
1.0
4.5152 0.0000 0.0000
0.0000 4.5152 0.0000
0.0000 0.0000 4.5977
Gd Al In
1 1 2
direct
0.0000 0.0000 0.0000
0.5000 0.5000 0.0000
0.0000 0.5000 0.5000
0.5000 0.0000 0.5000

=====

[3]
CeTm2Sn3 (PBE, optimized geometry); formation energy = -3.0 eV per formula unit
1.0
-2.5594 3.1287 5.4599
2.5594 -3.1287 5.4599
2.5594 3.1287 -5.4599
Ce Tm Sn
1 2 3
direct
0.0000 0.0000 0.0000
0.3376 0.3376 0.0000
0.6624 0.6624 0.0000
0.1768 0.6768 0.5000
0.5000 0.0000 0.5000
0.8232 0.3232 0.5000

=====

Please write out number 1 again, unchanged.
HgI3F (PBE, optimized geometry); formation energy without anion corrections = 0.1637 eV per atom
1.0
5.3052 0.0000 0.0000
0.0000 5.3052 0.0000
0.0000 0.0000 5.3052
Hg I F
1 3 1
direct
0.0000 0.0000 0.0000
0.0000 0.5000 0.5000
0.5000 0.0000 0.5000
0.5000 0.5000 0.0000
0.5000 0.5000 0.5000